# TbSmCoAg | the Alexandria database | PBE | optimized geometry
# Magnetization   0.46 μB/f.u.
# Electronic total energy   -4.96 eV per atom
# Formation energy   -0.5 eV per formula unit
data_TbSmCoAg
_symmetry_space_group_name_H-M 'F -4 3 m'
_symmetry_Int_Tables_number 216
_symmetry_space_group_name_Hall 'F -4 2 3'
_cell_length_a 7.084
_cell_length_b 7.084
_cell_length_c 7.084
_cell_angle_alpha 90.00
_cell_angle_beta 90.00
_cell_angle_gamma 90.00
loop_
_atom_site_label
_atom_site_type_symbol
_atom_site_fract_x
_atom_site_fract_y
_atom_site_fract_z
Tb1 Tb 0.000 0.000 0.000
Sm1 Sm 0.000 0.000 0.500
Co1 Co 0.250 0.250 0.250
Ag1 Ag 0.250 0.250 0.750